Entry 1:
PBE Mg2TcSbN, optimized geometry; formation energy (no corrections) = -0.17 eV per atom; space-group type = P4/mmm, No. 123
1.0
4.437 0.000 0.000
0.000 4.437 0.000
0.000 0.000 4.050
Mg Tc Sb N
2 1 1 1
direct
0.000 0.500 0.000
0.500 0.000 0.000
0.000 0.000 0.500
0.500 0.500 0.500
0.000 0.000 0.000

---

Entry 2:
PBE MgSbTeN2, optimized geometry; formation energy (no corrections) = 1.22 eV per atom; space-group type = P4/mmm, No. 123
1.0
4.300 0.000 0.000
0.000 4.300 0.000
0.000 0.000 5.833
Mg Sb Te N
1 1 1 2
direct
0.000 0.000 0.000
0.500 0.500 0.500
0.000 0.000 0.500
0.000 0.500 0.000
0.500 0.000 0.000

---

Entry 3:
PBE MgSbTeN2, optimized geometry; formation energy (no corrections) = 0.90 eV per atom; space-group type = P4/mmm, No. 123
1.0
4.078 0.000 0.000
0.000 4.078 0.000
0.000 0.000 6.332
Mg Sb Te N
1 1 1 2
direct
0.000 0.000 0.000
0.500 0.500 0.500
0.500 0.500 0.000
0.000 0.500 0.500
0.500 0.000 0.500

---

Entry 4:
PBE ThMgSb2N, optimized geometry; formation energy (no corrections) = -0.71 eV per atom; space-group type = P4/nmm, No. 129
1.0
3.996 0.000 0.000
0.000 3.996 0.000
0.000 0.000 16.810
Th Mg Sb N
2 2 4 2
direct
0.250 0.250 0.071
0.750 0.750 0.929
0.250 0.250 0.628
0.750 0.750 0.372
0.250 0.250 0.446
0.250 0.250 0.794
0.750 0.750 0.206
0.750 0.750 0.554
0.250 0.750 0.000
0.750 0.250 0.000

---

Entry 5:
PBE MgUSb2N, optimized geometry; formation energy (no corrections) = -0.59 eV per atom; space-group type = P4/nmm, No. 129
1.0
3.862 0.000 0.000
0.000 3.862 0.000
0.000 0.000 16.099
Mg U Sb N
2 2 4 2
direct
0.250 0.250 0.143
0.750 0.750 0.857
0.250 0.250 0.572
0.750 0.750 0.428
0.250 0.250 0.318
0.250 0.250 0.941
0.750 0.750 0.059
0.750 0.750 0.682
0.250 0.750 0.500
0.750 0.250 0.500

---

Entry 6:
PBE YMg2SbN, optimized geometry; formation energy (no corrections) = -0.77 eV per atom; space-group type = P4/mmm, No. 123
1.0
4.411 0.000 0.000
0.000 4.411 0.000
0.000 0.000 4.887
Y Mg Sb N
1 2 1 1
direct
0.000 0.000 0.000
0.000 0.500 0.500
0.500 0.000 0.500
0.500 0.500 0.000
0.000 0.000 0.500

---

- The highest formation energy (no corrections) belongs to which entry?
  number 2

---

- Look up the formation energy (no corrections) of the fourth one.
  -0.71 eV per atom

---

- formation energy (no corrections) of number 5 (MgUSb2N)?
  -0.59 eV per atom

---

Please write out number 2 again, unchanged.
PBE MgSbTeN2, optimized geometry; formation energy (no corrections) = 1.22 eV per atom; space-group type = P4/mmm, No. 123
1.0
4.300 0.000 0.000
0.000 4.300 0.000
0.000 0.000 5.833
Mg Sb Te N
1 1 1 2
direct
0.000 0.000 0.000
0.500 0.500 0.500
0.000 0.000 0.500
0.000 0.500 0.000
0.500 0.000 0.000